# 1
Below is a relaxed structure of Mg4Ga6Ir7, with properties calculated at the PBE level.

Values from the calculation:
The value obtained for the calculated formation energy is -0.33 eV/atom. Its size of the total moment is 0.000 μB per formula unit. For the total energy, the calculation gives -92.09 eV/cell. The value obtained for the density of states at the Fermi level is 16.2 states/eV per cell.

abc: 7.086 7.086 7.086
angles: 109.47 109.47 109.47
Positions (direct):
Mg 0.000 0.000 0.500
Mg 0.000 0.500 0.000
Mg 0.500 0.000 0.000
Mg 0.500 0.500 0.500
Ga 0.000 0.306 0.306
Ga 0.000 0.694 0.694
Ga 0.306 0.000 0.306
Ga 0.306 0.306 0.000
Ga 0.694 0.000 0.694
Ga 0.694 0.694 0.000
Ir 0.000 0.000 0.000
Ir 0.250 0.500 0.750
Ir 0.250 0.750 0.500
Ir 0.500 0.250 0.750
Ir 0.500 0.750 0.250
Ir 0.750 0.250 0.500
Ir 0.750 0.500 0.250



# 2
Below is a relaxed structure of K4CrRh3Se8, with properties calculated at the PBE level.

Values from the calculation:
Its size of the total moment is 2.902 μB per formula unit. For the total energy, the calculation gives -75.74 eV/cell.

abc: 8.484 8.484 8.484
angles: 54.54 54.54 54.54
Positions (direct):
K 0.000 0.000 0.000
K 0.000 0.500 0.500
K 0.500 0.000 0.500
K 0.500 0.500 0.000
Cr 0.500 0.500 0.500
Rh 0.000 0.000 0.500
Rh 0.000 0.500 0.000
Rh 0.500 0.000 0.000
Se 0.222 0.222 0.222
Se 0.222 0.725 0.725
Se 0.275 0.275 0.778
Se 0.275 0.778 0.275
Se 0.725 0.222 0.725
Se 0.725 0.725 0.222
Se 0.778 0.275 0.275
Se 0.778 0.778 0.778



# 3
Below is a relaxed structure of Ac3Cd2Hg7, with properties calculated at the PBE level.

Values from the calculation:
The value obtained for the calculated formation energy is -0.32 eV/atom. Its size of the total moment is 0.000 μB per formula unit. For the total energy, the calculation gives -20.05 eV/cell. The value obtained for the density of states at the Fermi level is 10.1 states/eV per cell.

abc: 5.082 4.529 15.422
angles: 90.00 99.26 90.00
Positions (direct):
Ac 0.000 0.000 0.000
Ac 0.318 0.500 0.640
Ac 0.682 0.500 0.360
Cd 0.138 0.000 0.274
Cd 0.862 0.000 0.726
Hg 0.082 0.500 0.158
Hg 0.229 0.000 0.457
Hg 0.416 0.000 0.835
Hg 0.500 0.500 0.000
Hg 0.584 0.000 0.165
Hg 0.771 0.000 0.543
Hg 0.918 0.500 0.842



# 4
Below is a relaxed structure of YTlZn2, with properties calculated at the PBE level.

Values from the calculation:
The value obtained for the calculated formation energy is -0.15 eV/atom. Its size of the total moment is 0.000 μB per formula unit. For the total energy, the calculation gives -11.99 eV/cell. The value obtained for the density of states at the Fermi level is 1.9 states/eV per cell. As for the energy above the most stable polymorph in this dataset: 66 meV per atom.

abc: 3.556 4.415 5.906
angles: 90.00 106.30 90.00
Positions (direct):
Y 0.000 0.000 0.000
Tl 0.319 0.500 0.659
Zn 0.599 0.500 0.210
Zn 0.704 0.000 0.445



Q: What is the size of the total moment in the fourth record?
A: 0.000 μB per formula unit